Record 1
SrReP2O | PBE | optimized geometry

Values from the calculation:
Space-group type: P4/mmm
E above lowest polymorph (meV per atom): 2450.0
E_form (uncorrected) (meV per atom): 1790

Unit cell a=5.278 b=5.278 c=3.861 alpha=90.00 beta=90.00 gamma=90.00
Sites, in units of the cell vectors:
Sr: 0.000 0.000 0.000
Re: 0.500 0.500 0.500
P: 0.000 0.500 0.000
P: 0.500 0.000 0.000
O: 0.000 0.000 0.500

Record 2
TaRePO2 | PBE | optimized geometry

Values from the calculation:
Space-group type: P4/mmm
E above lowest polymorph (meV per atom): 0.0
E_form (uncorrected) (meV per atom): -651

Unit cell a=3.835 b=3.835 c=5.433 alpha=90.00 beta=90.00 gamma=90.00
Sites, in units of the cell vectors:
Ta: 0.000 0.000 0.000
Re: 0.500 0.500 0.500
P: 0.000 0.000 0.500
O: 0.000 0.500 0.000
O: 0.500 0.000 0.000